VCrTcO6 (PBE with a Hubbard U, optimized geometry); final energy = -7.8461 eV per atom; DOS at the Fermi energy = 1.960 states/eV/f.u.; space-group type = P4_2nm
1.0
4.5895 0.0000 0.0000
0.0000 4.5895 0.0000
0.0000 0.0000 9.1527
V Cr Tc O
2 2 2 12
direct
0.5000 0.5000 0.1656
0.0000 0.0000 0.6656
0.5000 0.5000 0.4991
0.0000 0.0000 0.9991
0.5000 0.5000 0.8333
0.0000 0.0000 0.3333
0.1928 0.8072 0.4992
0.8072 0.1928 0.4992
0.3072 0.3072 0.9992
0.6928 0.6928 0.9992
0.2008 0.7992 0.1704
0.7992 0.2008 0.1704
0.2992 0.2992 0.6704
0.7008 0.7008 0.6704
0.8009 0.1991 0.8314
0.1991 0.8009 0.8314
0.6991 0.6991 0.3314
0.3009 0.3009 0.3314